Below is an optimized crystal structure of Mg2GeAu2, with properties calculated at the GGA-PBE level.

Computed properties:
The total energy is -3.0034 eV/atom. Its offset from the most stable computed form is 0.2286 eV per atom. The formation energy comes out at -0.66 eV per formula unit. The calculation puts the total magnetic moment at 0.00 μB per atom.

Cell: 4.095 4.095 12.451 Å, 90.00 90.00 90.00°
Positions (direct):
Mg1 0.000 0.500 0.250
Mg2 0.000 0.500 0.750
Mg3 0.500 0.000 0.250
Mg4 0.500 0.000 0.750
Ge1 0.000 0.000 0.000
Ge2 0.500 0.500 0.500
Au1 0.000 0.000 0.390
Au2 0.000 0.000 0.610
Au3 0.500 0.500 0.110
Au4 0.500 0.500 0.890

---

Below is an optimized crystal structure of InGeAs2Br, with properties calculated at the GGA-PBE level.

Computed properties:
The total energy is -3.3092 eV/atom. Its offset from the most stable computed form is 0.0000 eV per atom. The calculation puts the total magnetic moment at 0.19 μB per atom. As for the uncorrected formation energy: 0.3563 eV/atom.

Cell: 4.999 4.999 5.680 Å, 90.00 90.00 90.00°
Positions (direct):
In1 0.000 0.000 0.000
Ge1 0.500 0.500 0.500
As1 0.000 0.500 0.500
As2 0.500 0.000 0.500
Br1 0.500 0.500 0.000

---

Below is an optimized crystal structure of RbRe2P2, with properties calculated at the GGA-PBE level.

Computed properties:
The total energy is -6.7677 eV/atom. The formation energy comes out at 2.85 eV per formula unit. The calculation puts the total magnetic moment at 0.00 μB per atom.

Cell: 8.052 8.052 2.854 Å, 90.00 90.00 90.00°
Positions (direct):
Rb1 0.000 0.000 0.000
Rb2 0.500 0.500 0.000
Re1 0.118 0.382 0.000
Re2 0.382 0.882 0.000
Re3 0.618 0.118 0.000
Re4 0.882 0.618 0.000
P1 0.132 0.632 0.500
P2 0.368 0.132 0.500
P3 0.632 0.868 0.500
P4 0.868 0.368 0.500

---

Below is an optimized crystal structure of Li4MgPd5, with properties calculated at the GGA-PBE level.

Computed properties:
The total energy is -4.0195 eV/atom. The formation energy comes out at -4.98 eV per formula unit. The calculation puts the total magnetic moment at 0.00 μB per atom.

Cell: 3.029 3.029 15.184 Å, 90.00 90.00 90.00°
Positions (direct):
Li1 0.000 0.000 0.097
Li2 0.000 0.000 0.290
Li3 0.000 0.000 0.710
Li4 0.000 0.000 0.903
Mg1 0.000 0.000 0.500
Pd1 0.500 0.500 0.000
Pd2 0.500 0.500 0.195
Pd3 0.500 0.500 0.391
Pd4 0.500 0.500 0.609
Pd5 0.500 0.500 0.805

---

Below is an optimized crystal structure of NdHoInIr, with properties calculated at the GGA-PBE level.

Computed properties:
The total energy is -5.7089 eV/atom. The formation energy comes out at -1.89 eV per formula unit. The calculation puts the total magnetic moment at 0.00 μB per atom.

Cell: 7.285 7.285 7.285 Å, 90.00 90.00 90.00°
Positions (direct):
Nd1 0.000 0.000 0.000
Nd2 0.000 0.500 0.500
Nd3 0.500 0.000 0.500
Nd4 0.500 0.500 0.000
Ho1 0.000 0.000 0.500
Ho2 0.000 0.500 0.000
Ho3 0.500 0.000 0.000
Ho4 0.500 0.500 0.500
In1 0.250 0.250 0.250
In2 0.250 0.750 0.750
In3 0.750 0.250 0.750
In4 0.750 0.750 0.250
Ir1 0.250 0.250 0.750
Ir2 0.250 0.750 0.250
Ir3 0.750 0.250 0.250
Ir4 0.750 0.750 0.750

---

Below is an optimized crystal structure of Cd2CuAg, with properties calculated at the GGA-PBE level.

Computed properties:
The total energy is -2.1870 eV/atom. The formation energy comes out at 0.03 eV per formula unit. The calculation puts the total magnetic moment at 0.00 μB per atom.

Cell: 3.258 3.242 6.817 Å, 90.00 90.47 90.00°
Positions (direct):
Cd1 0.000 0.000 0.229
Cd2 0.000 0.000 0.771
Cu1 0.500 0.500 0.000
Ag1 0.500 0.500 0.500

---

Below is an optimized crystal structure of RbCdSiAu2, with properties calculated at the GGA-PBE level.

Computed properties:
The total energy is -2.8467 eV/atom. The calculation puts the total magnetic moment at 0.00 μB per atom. As for the uncorrected formation energy: -0.0746 eV/atom.

Cell: 5.072 5.072 5.213 Å, 90.00 90.00 90.00°
Positions (direct):
Rb1 0.000 0.000 0.000
Cd1 0.500 0.500 0.000
Si1 0.500 0.500 0.500
Au1 0.000 0.500 0.500
Au2 0.500 0.000 0.500

---

Below is an optimized crystal structure of YTeP2, with properties calculated at the GGA-PBE level.

Computed properties:
The total energy is -5.6556 eV/atom. The calculation puts the total magnetic moment at 0.00 μB per atom. As for the uncorrected formation energy: -0.5493 eV/atom.

Cell: 4.029 3.731 6.406 Å, 90.00 107.74 90.00°
Positions (direct):
Y1 0.000 0.000 0.000
Te1 0.500 0.000 0.500
P1 0.386 0.500 0.814
P2 0.614 0.500 0.186